Computed, not measured: a relaxed structure of Ca4TlZn at the GGA-PBE level of DFT.

Unit cell a=6.7762 b=6.7762 c=6.7762 alpha=60.00 beta=60.00 gamma=60.00
Atoms (fractional coordinates):
Ca1 0.1248 0.1248 0.1248
Ca2 0.1248 0.1248 0.6257
Ca3 0.1248 0.6257 0.1248
Ca4 0.6257 0.1248 0.1248
Tl1 0.7500 0.7500 0.7500
Zn1 0.5000 0.5000 0.5000

Its total moment is 0.00 μB per atom. Its formation enthalpy at 0 K is 0.32 eV per atom. The crystal system is cubic. The calculation puts the density of states at the Fermi level at 7.716 states/eV/cell.